NaTl2Sn2Te4: relaxed, PBE-GGA. Values from VASP.

Quantum ESPRESSO input file:
```
&SYSTEM
  ibrav = 0, nat = 9, ntyp = 4
/
ATOMIC_SPECIES
Sn 118.71 Sn.upf
Tl 204.38 Tl.upf
Te 127.60 Te.upf
Na 22.99 Na.upf
CELL_PARAMETERS angstrom
5.544 0.000 0.000
-2.772 7.628 -0.078
0.000 -2.752 7.398
ATOMIC_POSITIONS angstrom
Sn 2.772 2.138 0.475
Sn 0.000 2.738 6.844
Tl 0.000 0.489 3.890
Tl 2.772 4.387 3.430
Te 2.772 2.007 5.866
Te 2.772 -0.564 1.995
Te 0.000 2.869 1.454
Te 0.000 5.440 5.324
Na 0.000 0.000 0.000
```

E_form (uncorrected)	-32.5	kJ per mole of atoms
spin magnetization	0.00	μB per formula unit
crystal system	monoclinic
DOS at the Fermi energy	1.68	states/eV/cell
E_tot	-3.295	eV per atom